1.
Cs2RuBr5Cl | PBE | relaxed

abc: 7.7363 7.7363 7.7363
angles: 120.38 120.38 89.35
Positions (direct):
Cs (0.0000, 0.5000, 0.5000)
Cs (0.5000, 0.0000, 0.5000)
Ru (0.2506, 0.2506, 0.0000)
Br (0.0190, 0.0190, 0.5371)
Br (0.0190, 0.4819, 0.0000)
Br (0.0223, 0.0223, 0.0000)
Br (0.4819, 0.0190, 0.0000)
Br (0.4819, 0.4819, 0.4629)
Cl (0.4653, 0.4653, 0.0000)

Calculated values
The value obtained for the calculated volume is 326 Å³/cell. Its formation energy without anion corrections is -9.31 eV per formula unit.

2.
IrOs2Pb | PBE | relaxed

abc: 2.8063 3.8097 6.5590
angles: 90.00 90.00 90.00
Positions (direct):
Ir (0.0000, 0.0000, 0.0000)
Os (0.5000, 0.5000, 0.1978)
Os (0.5000, 0.5000, 0.8022)
Pb (0.0000, 0.0000, 0.5000)

Calculated values
The value obtained for the calculated volume is 70 Å³/cell. The formation enthalpy at 0 K is 0.7699 eV/atom.

Q: Which value of calculated volume does entry 1 give?
A: 326 Å³/cell